1.
CsBiRu3: optimized geometry, PBE.

Summary:
Its crystal system is cubic. For the formation energy, the calculation gives 1.770 eV per atom. Its electronic total energy is -4.74 eV per atom. The volume is 28.0 Å³/atom. The calculation puts the distance to the lowest polymorph of the same formula at 0.0 meV/atom.

```
data_CsBiRu3
_symmetry_space_group_name_H-M 'P m -3 m'
_symmetry_Int_Tables_number 221
_symmetry_space_group_name_Hall '-P 4 2 3'
_cell_length_a 5.1896
_cell_length_b 5.1896
_cell_length_c 5.1896
_cell_angle_alpha 90.00
_cell_angle_beta 90.00
_cell_angle_gamma 90.00
loop_
_atom_site_label
_atom_site_fract_x
_atom_site_fract_y
_atom_site_fract_z
Cs1 0.0000 0.0000 0.0000
Bi1 0.5000 0.5000 0.5000
Ru1 0.0000 0.5000 0.5000
```

---

2.
NpSI2: optimized geometry, PBE.

Summary:
As for the uncorrected formation energy: -0.843 eV per atom. Its crystal system is monoclinic. Its electronic total energy is -5.89 eV per atom. The volume is 37.7 Å³/atom.

```
data_NpSI2
_symmetry_space_group_name_H-M 'C 1 m 1'
_symmetry_Int_Tables_number 8
_symmetry_space_group_name_Hall 'C -2y'
_cell_length_a 8.9100
_cell_length_b 4.0303
_cell_length_c 8.7945
_cell_angle_alpha 90.00
_cell_angle_beta 107.05
_cell_angle_gamma 90.00
loop_
_atom_site_label
_atom_site_fract_x
_atom_site_fract_y
_atom_site_fract_z
Np1 0.0000 0.0000 0.0000
S1 0.2029 0.5000 0.0001
I1 0.0051 0.5000 0.2791
I2 0.3437 0.0000 0.7209
```

---

3.
ScPdN3: optimized geometry, PBE.

Summary:
As for the uncorrected formation energy: 1.045 eV per atom. Its crystal system is cubic. Its electronic total energy is -6.26 eV per atom. The volume is 11.8 Å³/atom.

```
data_ScPdN3
_symmetry_space_group_name_H-M 'P m -3 m'
_symmetry_Int_Tables_number 221
_symmetry_space_group_name_Hall '-P 4 2 3'
_cell_length_a 3.8952
_cell_length_b 3.8952
_cell_length_c 3.8952
_cell_angle_alpha 90.00
_cell_angle_beta 90.00
_cell_angle_gamma 90.00
loop_
_atom_site_label
_atom_site_fract_x
_atom_site_fract_y
_atom_site_fract_z
Sc1 0.0000 0.0000 0.0000
Pd1 0.5000 0.5000 0.5000
N1 0.0000 0.5000 0.5000
```

---

4.
CsLi2Tl9: optimized geometry, PBE.

Summary:
Its crystal system is hexagonal. For the formation energy, the calculation gives -0.085 eV per atom. Its electronic total energy is -2.25 eV per atom. The volume is 30.9 Å³/atom.

```
data_CsLi2Tl9
_symmetry_space_group_name_H-M 'P 6/m m m'
_symmetry_Int_Tables_number 191
_symmetry_space_group_name_Hall '-P 6 2'
_cell_length_a 9.6882
_cell_length_b 9.6882
_cell_length_c 4.5562
_cell_angle_alpha 90.00
_cell_angle_beta 90.00
_cell_angle_gamma 120.00
loop_
_atom_site_label
_atom_site_fract_x
_atom_site_fract_y
_atom_site_fract_z
Cs1 0.0000 0.0000 0.0000
Li1 0.3333 0.6667 0.0000
Tl1 0.0000 0.5000 0.0000
Tl2 0.2084 0.4168 0.5000
```

---

5.
Ac2PuRhO6: optimized geometry, PBE.

Summary:
As for the uncorrected formation energy: -2.427 eV per atom. Its crystal system is orthorhombic. Its electronic total energy is -8.39 eV per atom. The volume is 16.9 Å³/atom.

```
data_Ac2PuRhO6
_symmetry_space_group_name_H-M 'P m m n'
_symmetry_Int_Tables_number 59
_cell_length_a 5.4453
_cell_length_b 9.9815
_cell_length_c 6.2363
_cell_angle_alpha 90.00
_cell_angle_beta 90.00
_cell_angle_gamma 90.00
loop_
_symmetry_equiv_pos_as_xyz
'x,y,z'
'-x,-y,-z'
'-x+1/2,-y+1/2,z'
'x+1/2,y+1/2,-z'
'x+1/2,-y,-z'
'-x+1/2,y,z'
'-x,y+1/2,-z'
'x,-y+1/2,z'
loop_
_atom_site_label
_atom_site_fract_x
_atom_site_fract_y
_atom_site_fract_z
Ac1 0.2500 0.0558 0.2292
Pu1 0.2500 0.2500 0.7756
Rh1 0.2500 0.7500 0.7104
O1 0.0045 0.2500 0.5142
O2 0.0127 0.2500 0.0616
O3 0.2500 0.0324 0.8405
```

---

6.
AlNiPb: optimized geometry, PBE.

Summary:
Its crystal system is tetragonal. For the formation energy, the calculation gives 0.015 eV per atom. Its electronic total energy is -4.40 eV per atom. The volume is 19.1 Å³/atom. The calculation puts the distance to the lowest polymorph of the same formula at 59.5 meV/atom.

```
data_AlNiPb
_symmetry_space_group_name_H-M 'I 4 m m'
_symmetry_Int_Tables_number 107
_symmetry_space_group_name_Hall 'I 4 -2'
_cell_length_a 3.1527
_cell_length_b 3.1527
_cell_length_c 11.5105
_cell_angle_alpha 90.00
_cell_angle_beta 90.00
_cell_angle_gamma 90.00
loop_
_atom_site_label
_atom_site_fract_x
_atom_site_fract_y
_atom_site_fract_z
Al1 0.0000 0.0000 0.0000
Ni1 0.0000 0.0000 0.4104
Pb1 0.0000 0.0000 0.7259
```

---

7.
K2AuSeI6: optimized geometry, PBE.

Summary:
As for the uncorrected formation energy: -0.577 eV per atom. Its crystal system is monoclinic. Its electronic total energy is -2.40 eV per atom. The volume is 42.3 Å³/atom.

```
data_K2AuSeI6
_symmetry_space_group_name_H-M 'P 1 21/c 1'
_symmetry_Int_Tables_number 14
_symmetry_space_group_name_Hall '-P 2ybc'
_cell_length_a 9.4995
_cell_length_b 7.8253
_cell_length_c 14.8169
_cell_angle_alpha 90.00
_cell_angle_beta 129.82
_cell_angle_gamma 90.00
loop_
_atom_site_label
_atom_site_fract_x
_atom_site_fract_y
_atom_site_fract_z
K1 0.1921 0.0226 0.2517
Au1 0.5000 0.0000 0.0000
Se1 0.0000 0.0000 0.5000
I1 0.1853 0.2031 0.0203
I2 0.2165 0.5141 0.2504
I3 0.3512 0.7243 0.0160
```

---

8.
AcTl2ZnSb2: optimized geometry, PBE.

Summary:
As for the uncorrected formation energy: -0.369 eV per atom. Its crystal system is orthorhombic. Its electronic total energy is -3.43 eV per atom. The volume is 31.1 Å³/atom.

```
data_AcTl2ZnSb2
_symmetry_space_group_name_H-M 'P m c 21'
_symmetry_Int_Tables_number 26
_symmetry_space_group_name_Hall 'P 2c -2'
_cell_length_a 4.6478
_cell_length_b 10.0399
_cell_length_c 7.9896
_cell_angle_alpha 90.00
_cell_angle_beta 90.00
_cell_angle_gamma 90.00
loop_
_atom_site_label
_atom_site_fract_x
_atom_site_fract_y
_atom_site_fract_z
Ac1 0.0000 0.0873 0.0000
Tl1 0.0000 0.3534 0.2944
Tl2 0.5000 0.4401 0.9852
Zn1 0.5000 0.1623 0.6562
Sb1 0.0000 0.3116 0.6908
Sb2 0.5000 0.0927 0.3040
```